First-principles (PBE) data for a relaxed K4Er3ZrO8 crystal, as listed in the Alexandria database.

As for the total energy: -326.9 eV for the cell shown.

It has space group R-3m (No. 166, hexagonal axes), with a = 6.8246 Å, b = 6.8246 Å, c = 18.7181 Å, α = 90.00°, β = 90.00° and γ = 120.00°. Symmetry generates all atoms from K at (0.0000, 0.0000, 0.0000), K at (0.0000, 0.5000, 0.0000), Er at (0.0000, 0.5000, 0.5000), Zr at (0.0000, 0.0000, 0.5000), O at (0.0000, 0.0000, 0.2280) and O at (0.0107, 0.5053, 0.2276).

First-principles (PBE) data for a relaxed Ag2AsIr crystal, as listed in the Alexandria database.

Its energy of formation is 356 meV/atom.

It has space group P2/m (No. 10), with a = 3.0081 Å, b = 5.0632 Å, c = 4.5058 Å, α = 90.00°, β = 92.13° and γ = 90.00°. Symmetry generates all atoms from Ag at (0.2435, 0.0000, 0.2490), As at (0.0000, 0.5000, 0.5000) and Ir at (0.5000, 0.5000, 0.0000).

First-principles (PBE) data for a relaxed RbInSi crystal, as listed in the Alexandria database.

As for the total energy: -33.8 eV for the cell shown.

It has space group Cmcm (No. 63), with a = 7.2904 Å, b = 9.1266 Å, c = 6.7861 Å, α = 90.00°, β = 90.00° and γ = 90.00°. Symmetry generates all atoms from Rb at (0.0000, 0.1232, 0.2500), In at (0.0000, 0.5000, 0.0000) and Si at (0.0000, 0.2927, 0.7500).

First-principles (PBE) data for a relaxed La3MgGa2 crystal, as listed in the Alexandria database.

Its energy of formation is -417 meV/atom. The offset from the most stable computed form comes out at 0.04 eV per formula unit.

It has space group P4/mmm (No. 123), with a = 3.7777 Å, b = 3.7777 Å, c = 11.8465 Å, α = 90.00°, β = 90.00° and γ = 90.00°. Symmetry generates all atoms from La at (0.0000, 0.0000, 0.0000), La at (0.0000, 0.0000, 0.3156), Mg at (0.5000, 0.5000, 0.5000) and Ga at (0.5000, 0.5000, 0.1644).

First-principles (PBE) data for a relaxed ZnInPb2 crystal, as listed in the Alexandria database.

Its energy of formation is 125 meV/atom.

It has space group F-43m (No. 216), with a = 7.5996 Å, b = 7.5996 Å, c = 7.5996 Å, α = 90.00°, β = 90.00° and γ = 90.00°. Symmetry generates all atoms from Zn at (0.0000, 0.0000, 0.0000), In at (0.2500, 0.2500, 0.7500), Pb at (0.0000, 0.0000, 0.5000) and Pb at (0.2500, 0.2500, 0.2500).

First-principles (PBE) data for a relaxed YAlCu3 crystal, as listed in the Alexandria database.

Its energy of formation is -226 meV/atom. The offset from the most stable computed form comes out at 0.00 eV per formula unit.

It has space group I4mm (No. 107), with a = 4.2985 Å, b = 4.2985 Å, c = 9.1942 Å, α = 90.00°, β = 90.00° and γ = 90.00°. Symmetry generates all atoms from Y at (0.0000, 0.0000, 0.0000), Al at (0.0000, 0.0000, 0.6303), Cu at (0.0000, 0.0000, 0.3751) and Cu at (0.0000, 0.5000, 0.2526).

First-principles (PBE) data for a relaxed Sr2YSn3Rh4 crystal, as listed in the Alexandria database.

Its energy of formation is -684 meV/atom.

It has space group P-4m2 (No. 115), with a = 4.5127 Å, b = 4.5127 Å, c = 11.4458 Å, α = 90.00°, β = 90.00° and γ = 90.00°. Symmetry generates all atoms from Sr at (0.0000, 0.5000, 0.2328), Y at (0.0000, 0.0000, 0.5000), Sn at (0.0000, 0.5000, 0.8780), Sn at (0.5000, 0.5000, 0.5000), Rh at (0.0000, 0.0000, 0.0000), Rh at (0.0000, 0.5000, 0.6429) and Rh at (0.5000, 0.5000, 0.0000).

First-principles (PBE) data for a relaxed Dy4Er2Th5 crystal, as listed in the Alexandria database.

Its energy of formation is 129 meV/atom.

It has space group P2/m (No. 10), with a = 8.7965 Å, b = 3.4659 Å, c = 11.6096 Å, α = 90.00°, β = 94.67° and γ = 90.00°. Symmetry generates all atoms from Dy at (0.1603, 0.0000, 0.3988), Dy at (0.2903, 0.0000, 0.9464), Er at (0.0582, 0.5000, 0.1361), Th at (0.2026, 0.5000, 0.6729), Th at (0.4295, 0.5000, 0.2089) and Th at (0.5000, 0.5000, 0.5000).